This record from Alexandria describes a relaxed structure of ReHgAsBr2. The functional is PBE.

For the formation energy from raw total energies, the calculation gives 414 meV per atom. The density of states at the Fermi level is 2.798 states/eV per cell. The calculation puts the offset from the most stable computed form at 0 meV per atom.

It has space group P4/mmm (No. 123), with a = 5.2750 Å, b = 5.2750 Å, c = 4.8059 Å, α = 90.00°, β = 90.00° and γ = 90.00°. The inequivalent atoms are Re at (0.0000, 0.0000, 0.0000), Hg at (0.5000, 0.5000, 0.5000), As at (0.0000, 0.0000, 0.5000) and Br at (0.0000, 0.5000, 0.0000).

This record from Alexandria describes a relaxed structure of Ni2HgIr. The functional is PBE.

The density of states at the Fermi level is 16.934 states/eV per cell. The calculation puts the formation energy at 1.121 eV per formula unit.

It has space group R-3m (No. 166, hexagonal axes), with a = 2.7969 Å, b = 2.7969 Å, c = 25.7192 Å, α = 90.00°, β = 90.00° and γ = 120.00°. The inequivalent atoms are Ni at (0.0000, 0.0000, 0.2443), Hg at (0.0000, 0.0000, 0.0000) and Ir at (0.0000, 0.0000, 0.5000).

Going through the records in order, we get theoretical density values of 7.72; 14.59 g/cm³.